(1)
The following is a DFT calculation (GGA-PBE) of a geometry-optimized YZr2BeAu structure.

a b c (Å): 4.689 5.092 4.689
angles (deg): 90.00 90.00 90.00
Fractional positions:
Zr (0.500, 0.000, 0.000)
Y (0.000, 0.500, 0.000)
Au (0.500, 0.500, 0.500)
Zr (0.000, 0.000, 0.500)
Be (0.000, 0.000, 0.000)

## Properties
density of states at the Fermi level = 7.08 states/eV/cell
volume = 22.4 A^3/atom
total energy = -29.65 eV per cell
symmetry = P4/mmm
magnetization = 0.000 μB per atom
E_form = 0.183 eV per atom

(2)
The following is a DFT calculation (GGA-PBE) of a geometry-optimized CdTcPd2 structure.

a b c (Å): 5.853 5.853 7.149
angles (deg): 65.83 65.83 90.00
Fractional positions:
Pd (0.163, 0.625, 0.250)
Cd (0.750, 0.250, 0.500)
Cd (0.000, 0.000, 0.000)
Pd (0.587, 0.125, 0.250)
Pd (0.375, 0.413, 0.750)
Tc (0.250, 0.750, 0.500)
Pd (0.875, 0.837, 0.750)
Tc (0.500, 0.500, 0.000)

## Properties
density of states at the Fermi level = 8.50 states/eV/cell
volume = 25.0 A^3/atom
total energy = -34.83 eV per cell
symmetry = I-42d
magnetization = 0.000 μB per atom
E_form = 1.063 eV per atom

(3)
The following is a DFT calculation (GGA-PBE) of a geometry-optimized Ac2Dy structure.

a b c (Å): 3.875 6.636 6.664
angles (deg): 59.91 54.43 73.14
Fractional positions:
Ac (0.281, 0.697, 0.217)
Ac (0.282, 0.354, 0.889)
Dy (0.281, 0.025, 0.553)

## Properties
density of states at the Fermi level = 4.25 states/eV/cell
distance to the lowest polymorph of the same formula = 0.0 meV per atom
volume = 40.2 A^3/atom
total energy = -12.64 eV per cell
symmetry = C2/m
magnetization = 0.000 μB per atom
E_form = 0.058 eV per atom

(4)
The following is a DFT calculation (GGA-PBE) of a geometry-optimized LiFe structure.

a b c (Å): 6.928 6.928 6.928
angles (deg): 90.00 90.00 90.00
Site moments in Bohr magnetons follow the coordinates.
Fractional positions:
Li (0.750, 0.500, 0.000)  -0.05
Fe (0.000, 0.500, 0.750)  3.08
Fe (0.000, 0.500, 0.250)  3.08
Li (0.500, 0.000, 0.750)  -0.05
Fe (0.750, 0.000, 0.500)  3.08
Li (0.000, 0.250, 0.500)  -0.05
Li (0.500, 0.000, 0.250)  -0.05
Li (0.000, 0.750, 0.500)  -0.05
Li (0.250, 0.500, 0.000)  -0.05
Fe (0.500, 0.750, 0.000)  3.08
Fe (0.500, 0.250, 0.000)  3.08
Fe (0.250, 0.000, 0.500)  3.08

## Properties
density of states at the Fermi level = 29.23 states/eV/cell
volume = 27.7 A^3/atom
total energy = -40.56 eV per cell
symmetry = Pm-3n
magnetization = 1.505 μB per atom
E_form = 1.809 eV per atom

(5)
The following is a DFT calculation (GGA-PBE) of a geometry-optimized Pm3YIn structure.

a b c (Å): 3.739 8.889 9.936
angles (deg): 102.26 100.83 89.99
Fractional positions:
Pm (0.906, 0.958, 0.812)
Pm (0.500, 0.291, 0.000)
Y (0.310, 0.635, 0.619)
Pm (0.297, 0.160, 0.595)
Pm (0.094, 0.042, 0.188)
Pm (0.500, 0.709, 0.000)
Pm (0.703, 0.840, 0.405)
In (0.111, 0.564, 0.223)
In (0.889, 0.436, 0.777)
Y (0.690, 0.365, 0.381)

## Properties
density of states at the Fermi level = 12.37 states/eV/cell
distance to the lowest polymorph of the same formula = 20.9 meV per atom
volume = 31.7 A^3/atom
total energy = -48.64 eV per cell
symmetry = C2/m
magnetization = 0.000 μB per atom
E_form = -0.173 eV per atom

(6)
The following is a DFT calculation (GGA-PBE) of a geometry-optimized Nd4Y5Th structure.

a b c (Å): 3.625 3.625 25.495
angles (deg): 90.00 90.00 90.00
Fractional positions:
Y (0.500, 0.500, 0.095)
Y (0.500, 0.500, 0.701)
Y (0.500, 0.500, 0.905)
Nd (0.000, 0.000, 0.400)
Nd (0.000, 0.000, 0.198)
Th (0.000, 0.000, 0.000)
Y (0.500, 0.500, 0.500)
Y (0.500, 0.500, 0.299)
Nd (0.000, 0.000, 0.802)
Nd (0.000, 0.000, 0.600)

## Properties
density of states at the Fermi level = 13.40 states/eV/cell
distance to the lowest polymorph of the same formula = 0.0 meV per atom
volume = 33.5 A^3/atom
total energy = -58.66 eV per cell
symmetry = P4/mmm
magnetization = 0.000 μB per atom
E_form = 0.015 eV per atom

(7)
The following is a DFT calculation (GGA-PBE) of a geometry-optimized TbSmGa3 structure.

a b c (Å): 4.200 4.258 13.059
angles (deg): 99.38 90.00 90.00
Fractional positions:
Ga (0.750, 0.524, 0.048)
Ga (0.750, 0.324, 0.648)
Ga (0.250, 0.476, 0.952)
Sm (0.750, 0.927, 0.854)
Tb (0.250, 0.796, 0.593)
Tb (0.750, 0.204, 0.407)
Ga (0.750, 0.620, 0.239)
Ga (0.250, 0.380, 0.761)
Ga (0.250, 0.676, 0.352)
Sm (0.250, 0.073, 0.146)

## Properties
density of states at the Fermi level = 6.77 states/eV/cell
volume = 23.0 A^3/atom
total energy = -43.46 eV per cell
symmetry = Cmcm
magnetization = 0.000 μB per atom
E_form = -0.660 eV per atom

(8)
The following is a DFT calculation (GGA-PBE) of a geometry-optimized SrLi2AgAu structure.

a b c (Å): 4.865 4.865 5.397
angles (deg): 90.00 90.00 90.00
Fractional positions:
Sr (0.500, 0.500, 0.500)
Au (0.000, 0.000, 0.000)
Ag (0.000, 0.000, 0.500)
Li (0.500, 0.000, 0.000)
Li (0.000, 0.500, 0.000)

## Properties
density of states at the Fermi level = 2.05 states/eV/cell
volume = 25.5 A^3/atom
total energy = -12.72 eV per cell
symmetry = P4/mmm
magnetization = 0.000 μB per atom
E_form = -0.217 eV per atom

(9)
The following is a DFT calculation (GGA-PBE) of a geometry-optimized AlBi3As structure.

a b c (Å): 5.583 5.583 5.583
angles (deg): 90.00 90.00 90.00
Fractional positions:
Bi (0.500, 0.000, 0.000)
Bi (0.000, 0.500, 0.000)
As (0.000, 0.000, 0.000)
Bi (0.000, 0.000, 0.500)
Al (0.500, 0.500, 0.500)

## Properties
density of states at the Fermi level = 5.83 states/eV/cell
distance to the lowest polymorph of the same formula = 0.0 meV per atom
volume = 34.8 A^3/atom
total energy = -16.64 eV per cell
symmetry = Pm-3m
magnetization = 0.000 μB per atom
E_form = 0.678 eV per atom

(10)
The following is a DFT calculation (GGA-PBE) of a geometry-optimized CoIrRu2 structure.

a b c (Å): 2.671 4.590 5.314
angles (deg): 54.99 90.00 90.00
Site moments in Bohr magnetons follow the coordinates.
Fractional positions:
Ru (0.000, 0.000, 0.000)  -0.03
Ir (0.000, 0.000, 0.500)  0.01
Ru (0.500, 0.500, 0.000)  -0.03
Co (0.500, 0.500, 0.500)  0.49

## Properties
density of states at the Fermi level = 3.86 states/eV/cell
volume = 13.3 A^3/atom
total energy = -34.13 eV per cell
symmetry = P2/m
magnetization = 0.109 μB per atom
E_form = 0.098 eV per atom

(11)
The following is a DFT calculation (GGA-PBE) of a geometry-optimized Hg2C structure.

a b c (Å): 5.669 5.669 5.669
angles (deg): 60.00 60.00 60.00
Site moments in Bohr magnetons follow the coordinates.
Fractional positions:
Hg (0.625, 0.125, 0.125)  -0.01
Hg (0.125, 0.625, 0.125)  -0.01
Hg (0.125, 0.125, 0.625)  -0.01
C (0.500, 0.500, 0.500)  0.12
Hg (0.125, 0.125, 0.125)  -0.01
C (0.750, 0.750, 0.750)  0.12

## Properties
density of states at the Fermi level = 3.64 states/eV/cell
distance to the lowest polymorph of the same formula = 1867.1 meV per atom
volume = 21.5 A^3/atom
total energy = -5.62 eV per cell
symmetry = Fd-3m
magnetization = 0.066 μB per atom
E_form = 2.339 eV per atom

(12)
The following is a DFT calculation (GGA-PBE) of a geometry-optimized LaZnP2Cl structure.

a b c (Å): 4.617 4.617 5.127
angles (deg): 90.00 90.00 90.00
Fractional positions:
Zn (0.000, 0.000, 0.000)
La (0.500, 0.500, 0.500)
Cl (0.000, 0.000, 0.500)
P (0.000, 0.500, 0.000)
P (0.500, 0.000, 0.000)

## Properties
density of states at the Fermi level = 2.17 states/eV/cell
distance to the lowest polymorph of the same formula = 0.0 meV per atom
volume = 21.9 A^3/atom
total energy = -21.60 eV per cell
symmetry = P4/mmm
magnetization = 0.000 μB per atom
E_form (uncorrected) = -0.546 eV/atom

(13)
The following is a DFT calculation (GGA-PBE) of a geometry-optimized LaTl2AgI6 structure.

a b c (Å): 8.457 8.450 8.654
angles (deg): 60.73 60.70 60.02
Fractional positions:
Ag (0.316, 0.316, 0.054)
I (0.975, 0.586, 0.260)
I (0.179, 0.975, 0.259)
Tl (0.525, 0.526, 0.423)
La (0.823, 0.822, 0.533)
I (0.087, 0.474, 0.773)
Tl (0.031, 0.031, 0.908)
I (0.586, 0.179, 0.260)
I (0.666, 0.088, 0.773)
I (0.474, 0.666, 0.773)

## Properties
density of states at the Fermi level = 0.00 states/eV/cell
volume = 44.2 A^3/atom
total energy = -30.71 eV per cell
symmetry = P1
magnetization = 0.000 μB per atom
E_form (uncorrected) = -0.890 eV/atom

(14)
The following is a DFT calculation (GGA-PBE) of a geometry-optimized YTmTl2 structure.

a b c (Å): 5.346 5.346 5.346
angles (deg): 60.00 60.00 60.00
Fractional positions:
Tl (0.500, 0.500, 0.500)
Y (0.750, 0.750, 0.750)
Tl (0.000, 0.000, 0.000)
Tm (0.250, 0.250, 0.250)

## Properties
density of states at the Fermi level = 2.83 states/eV/cell
volume = 27.0 A^3/atom
total energy = -17.00 eV per cell
symmetry = Fm-3m
magnetization = 0.000 μB per atom
E_form = -0.332 eV per atom

(15)
The following is a DFT calculation (GGA-PBE) of a geometry-optimized Ce4PSe4 structure.

a b c (Å): 7.085 7.085 7.912
angles (deg): 116.60 116.60 90.00
Site moments in Bohr magnetons follow the coordinates.
Fractional positions:
Se (0.707, 0.707, 0.413)  -0.03
Ce (0.091, 0.091, 0.747)  1.02
Ce (0.656, 0.656, 0.747)  1.02
Se (0.000, 0.500, 0.000)  -0.02
Ce (0.344, 0.909, 0.253)  1.02
P (0.000, 0.000, 0.000)  -0.04
Se (0.293, 0.293, 0.587)  -0.03
Ce (0.909, 0.344, 0.253)  1.02
Se (0.500, 0.000, 0.000)  -0.02

## Properties
density of states at the Fermi level = 27.55 states/eV/cell
volume = 34.2 A^3/atom
total energy = -55.68 eV per cell
symmetry = I-42m
magnetization = 0.556 μB per atom
E_form (uncorrected) = -1.400 eV/atom

(16)
The following is a DFT calculation (GGA-PBE) of a geometry-optimized PaTi2Ir2 structure.

a b c (Å): 4.205 4.205 6.200
angles (deg): 109.82 109.82 90.00
Fractional positions:
Ir (0.380, 0.380, 0.759)
Pa (0.000, 0.000, 0.000)
Ir (0.620, 0.620, 0.241)
Ti (0.250, 0.750, 0.500)
Ti (0.750, 0.250, 0.500)

## Properties
density of states at the Fermi level = 6.25 states/eV/cell
volume = 19.2 A^3/atom
total energy = -46.20 eV per cell
symmetry = I4/mmm
magnetization = 0.000 μB per atom
E_form = -0.638 eV per atom

(17)
The following is a DFT calculation (GGA-PBE) of a geometry-optimized K2PbIBr6 structure.

a b c (Å): 7.607 8.436 9.368
angles (deg): 54.60 60.38 66.70
Fractional positions:
Br (0.422, 0.690, 0.862)
Br (0.917, 0.621, 0.327)
K (0.967, 0.046, 0.932)
Br (0.595, 0.137, 0.297)
Br (0.240, 0.964, 0.192)
Br (0.083, 0.504, 0.747)
K (0.529, 0.478, 0.403)
I (0.332, 0.329, 0.027)
Pb (0.831, 0.826, 0.531)
Br (0.744, 0.066, 0.697)

## Properties
density of states at the Fermi level = 2.48 states/eV/cell
volume = 42.1 A^3/atom
total energy = -26.74 eV per cell
symmetry = P1
magnetization = 0.000 μB per atom
E_form (uncorrected) = -0.924 eV/atom

(18)
The following is a DFT calculation (GGA-PBE) of a geometry-optimized PmCd6 structure.

a b c (Å): 6.648 6.648 6.648
angles (deg): 109.47 109.47 109.47
Fractional positions:
Cd (0.250, 0.500, 0.750)
Pm (0.000, 0.000, 0.000)
Cd (0.250, 0.750, 0.500)
Cd (0.750, 0.500, 0.250)
Cd (0.500, 0.250, 0.750)
Cd (0.750, 0.250, 0.500)
Cd (0.500, 0.750, 0.250)

## Properties
density of states at the Fermi level = 5.64 states/eV/cell
distance to the lowest polymorph of the same formula = 496.2 meV per atom
volume = 32.3 A^3/atom
total energy = -7.46 eV per cell
symmetry = Im-3m
magnetization = 0.000 μB per atom
E_form = 0.397 eV per atom

(19)
The following is a DFT calculation (GGA-PBE) of a geometry-optimized SiSn2GeH structure.

a b c (Å): 5.497 4.720 5.497
angles (deg): 90.00 90.00 90.00
Fractional positions:
H (0.500, 0.500, 0.500)
Ge (0.000, 0.000, 0.000)
Si (0.000, 0.500, 0.000)
Sn (0.500, 0.000, 0.000)
Sn (0.000, 0.000, 0.500)

## Properties
density of states at the Fermi level = 3.40 states/eV/cell
volume = 28.5 A^3/atom
total energy = -15.87 eV per cell
symmetry = P4/mmm
magnetization = 0.000 μB per atom

(20)
The following is a DFT calculation (GGA-PBE) of a geometry-optimized MnCuSCl2 structure.

a b c (Å): 4.671 4.671 4.806
angles (deg): 90.00 90.00 90.00
Site moments in Bohr magnetons follow the coordinates.
Fractional positions:
Cl (0.500, 0.000, 0.000)  0.03
Mn (0.000, 0.000, 0.000)  3.68
S (0.000, 0.000, 0.500)  -0.01
Cl (0.000, 0.500, 0.000)  0.03
Cu (0.500, 0.500, 0.500)  -0.03

## Properties
density of states at the Fermi level = 2.12 states/eV/cell
distance to the lowest polymorph of the same formula = 0.0 meV per atom
volume = 21.0 A^3/atom
total energy = -21.29 eV per cell
symmetry = P4/mmm
magnetization = 0.799 μB per atom
E_form (uncorrected) = -0.041 eV/atom